Record 1
! Sm3ErTl PBE relaxed; values from VASP
! Spin magnetization = 0.00 Bohr magnetons per cell
! Excess energy over the best structure of this formula in the dataset = 0.0 meV/atom
! ΔH_f (0 K) = -0.08 eV per atom
! Space-group type = Cm, No. 8
&SYSTEM
  ibrav = 0, nat = 5, ntyp = 3
/
ATOMIC_SPECIES
Sm 150.36 Sm.upf
Tl 204.38 Tl.upf
Er 167.26 Er.upf
CELL_PARAMETERS angstrom
3.676 -0.002 0.202
0.000 5.640 0.001
2.277 2.818 7.860
ATOMIC_POSITIONS angstrom
Sm 1.599 3.698 3.877
Sm 3.332 6.519 2.654
Sm 3.564 3.699 0.735
Tl 4.333 6.517 5.681
Er 3.947 3.699 7.403



Record 2
! Ca2ZnSe PBE relaxed; values from VASP
! Spin magnetization = 0.70 Bohr magnetons per cell
! Formation energy (no corrections) = -0.93 eV per atom
! Excess energy over the best structure of this formula in the dataset = 0.0 meV/atom
! Space-group type = R-3m, No. 166
&SYSTEM
  ibrav = 0, nat = 4, ntyp = 3
/
ATOMIC_SPECIES
Se 78.96 Se.upf
Ca 40.08 Ca.upf
Zn 65.41 Zn.upf
CELL_PARAMETERS angstrom
4.083 -0.005 0.010
2.049 3.531 0.010
2.020 1.162 7.812
ATOMIC_POSITIONS angstrom
Se 2.038 1.172 1.958
Ca 4.078 2.345 3.719
Zn 6.114 3.516 5.873
Ca 6.130 3.525 0.216



Record 3
! Mo2As PBE relaxed; values from VASP
! Spin magnetization = 0.00 Bohr magnetons per cell
! Excess energy over the best structure of this formula in the dataset = 0.7 meV/atom
! ΔH_f (0 K) = -0.03 eV per atom
! Space-group type = Cm, No. 8
&SYSTEM
  ibrav = 0, nat = 6, ntyp = 2
/
ATOMIC_SPECIES
As 74.92 As.upf
Mo 95.94 Mo.upf
CELL_PARAMETERS angstrom
2.082 -2.938 -3.478
4.290 -2.293 -1.183
-0.848 -5.783 2.441
ATOMIC_POSITIONS angstrom
As -0.686 -5.749 2.276
Mo 3.488 -4.501 -2.090
Mo 3.691 -7.492 -1.446
Mo 5.611 -8.381 -3.043
Mo 1.202 -7.197 0.867
As 1.499 -3.669 -0.411



Record 4
! RbHfTcPt2 PBE relaxed; values from VASP
! Spin magnetization = 0.00 Bohr magnetons per cell
! ΔH_f (0 K) = 1.43 eV per atom
! Space-group type = P4/mmm, No. 123
&SYSTEM
  ibrav = 0, nat = 5, ntyp = 4
/
ATOMIC_SPECIES
Pt 195.08 Pt.upf
Rb 85.47 Rb.upf
Tc 98.00 Tc.upf
Hf 178.49 Hf.upf
CELL_PARAMETERS angstrom
-2.302 2.806 -3.304
-2.253 -4.029 -1.851
-3.721 0.640 3.136
ATOMIC_POSITIONS angstrom
Pt -1.151 1.403 -1.652
Rb -1.126 -2.014 -0.926
Pt -1.860 0.320 1.568
Tc 0.000 0.000 0.000
Hf -4.138 -0.292 -1.010